## a
Cd2ReCl | PBE-GGA | optimized geometry

Values from the calculation:
crystal system	tetragonal

POSCAR file:
```
Cd2ReCl
1.0
3.0457 0.0000 0.0000
0.0000 3.0457 0.0000
0.0000 0.0000 8.3526
Re Cl Cd
1 1 2
Direct
0.5000 0.5000 0.7500
0.5000 0.5000 0.2500
0.0000 0.0000 0.9864
0.0000 0.0000 0.5136
```

---

## b
Cd2ReCl | PBE-GGA | optimized geometry

Values from the calculation:
crystal system	tetragonal

POSCAR file:
```
Cd2ReCl
1.0
2.9457 0.0000 0.0000
0.0000 2.9457 0.0000
0.0000 0.0000 9.6450
Re Cl Cd
1 1 2
Direct
0.5000 0.5000 0.7378
0.0000 0.0000 0.5836
0.0000 0.0000 0.9546
0.5000 0.5000 0.2240
```

---

## c
Cd2ReCl | PBE-GGA | optimized geometry

Values from the calculation:
crystal system	orthorhombic

POSCAR file:
```
Cd2ReCl
1.0
-2.1455 -2.1648 -0.1275
1.5610 -1.6660 2.0205
-4.2058 3.7926 6.3794
Re Cl Cd
1 1 2
Direct
0.5000 0.7500 0.7500
0.5000 0.2500 0.2500
0.0000 0.2496 0.9807
0.0000 0.2504 0.5193
```

---

## d
Cd2ReCl | PBE-GGA | optimized geometry

Values from the calculation:
crystal system	tetragonal

POSCAR file:
```
Cd2ReCl
1.0
5.5985 -0.0003 0.0000
2.5490 4.9845 0.0000
-4.0737 -2.4921 2.9218
Re Cl Cd
1 1 2
Direct
0.7500 0.2500 0.5000
0.5000 0.5000 0.0000
0.0000 0.0000 0.0000
0.2500 0.7500 0.5000
```

---

What is the most stable structure shown above? It is c.